Record 1
Al2TeAu2 | PBE | optimized geometry

Computed properties:
Space group: P4/mbm
Energy above the most stable polymorph in this dataset (meV/atom): 106.8
Final energy (eV/f.u.): -17.617

a b c (Å): 8.1905 8.1905 2.9708
angles (deg): 90.00 90.00 90.00
Last column: nearest neighbours and their distance in Å.
Fractional coordinates of all 10 atoms:
Al  0.1815  0.3185  0.0000  6 Au 2.73-2.93, 2 Al 2.97, 2 Te 3.00
Al  0.3185  0.8185  0.0000  6 Au 2.73-2.93, 2 Al 2.97, 2 Te 3.00
Al  0.6815  0.1815  0.0000  6 Au 2.73-2.93, 2 Al 2.97, 2 Te 3.00
Al  0.8185  0.6815  0.0000  6 Au 2.73-2.93, 2 Al 2.97, 2 Te 3.00
Te  0.0000  0.0000  0.0000  2 Te 2.97, 4 Al 3.00
Te  0.5000  0.5000  0.0000  2 Te 2.97, 4 Al 3.00
Au  0.1208  0.6208  0.5000  6 Al 2.73-2.93, 3 Au 2.80-2.97
Au  0.3792  0.1208  0.5000  6 Al 2.73-2.93, 3 Au 2.80-2.97
Au  0.6208  0.8792  0.5000  6 Al 2.73-2.93, 3 Au 2.80-2.97
Au  0.8792  0.3792  0.5000  6 Al 2.73-2.93, 3 Au 2.80-2.97


Record 2
In2Au3 | PBE | optimized geometry

Computed properties:
E_form (meV per atom): -55
Space group: I-43d
Energy above the most stable polymorph in this dataset (meV/atom): 107.3
Final energy (eV/f.u.): -15.583

a b c (Å): 8.3980 8.3980 8.3980
angles (deg): 109.47 109.47 109.47
Last column: nearest neighbours and their distance in Å.
Fractional coordinates of all 20 atoms:
In  0.0000  0.4280  0.5000  6 Au 2.84
In  0.0000  0.9280  0.5000  6 Au 2.84
In  0.0720  0.0720  0.0720  6 Au 2.84
In  0.4280  0.5000  0.0000  6 Au 2.84
In  0.5000  0.0000  0.4280  6 Au 2.84
In  0.5000  0.0000  0.9280  6 Au 2.84
In  0.5720  0.5720  0.5720  6 Au 2.84
In  0.9280  0.5000  0.0000  6 Au 2.84
Au  0.0177  0.2677  0.7500  1 Au 2.77, 4 In 2.84
Au  0.2323  0.2500  0.4823  1 Au 2.77, 4 In 2.84
Au  0.2500  0.4823  0.2323  1 Au 2.77, 4 In 2.84
Au  0.2500  0.7677  0.5177  1 Au 2.77, 4 In 2.84
Au  0.2677  0.7500  0.0177  1 Au 2.77, 4 In 2.84
Au  0.4823  0.2323  0.2500  1 Au 2.77, 4 In 2.84
Au  0.5177  0.2500  0.7677  1 Au 2.77, 4 In 2.84
Au  0.7323  0.9823  0.7500  1 Au 2.77, 4 In 2.84
Au  0.7500  0.0177  0.2677  1 Au 2.77, 4 In 2.84
Au  0.7500  0.7323  0.9823  1 Au 2.77, 4 In 2.84
Au  0.7677  0.5177  0.2500  1 Au 2.77, 4 In 2.84
Au  0.9823  0.7500  0.7323  1 Au 2.77, 4 In 2.84


Record 3
K6Rb2Au2O | PBE | optimized geometry

Computed properties:
Space group: C2/m
Final energy (eV/f.u.): -24.158

a b c (Å): 8.5288 8.5288 8.5904
angles (deg): 90.43 90.43 120.78
Last column: nearest neighbours and their distance in Å.
Fractional coordinates of all 11 atoms:
K  0.0043  0.7426  0.6680  1 O 2.65
K  0.2574  0.9957  0.3320  1 O 2.65
K  0.2696  0.2696  0.6600  1 O 2.64
K  0.7304  0.7304  0.3400  1 O 2.64
K  0.7426  0.0043  0.6680  1 O 2.65
K  0.9957  0.2574  0.3320  1 O 2.65
Rb  0.3344  0.6656  0.0000  6 K 4.26-4.31, 2 Au 4.30
Rb  0.6656  0.3344  0.0000  6 K 4.26-4.31, 2 Au 4.30
Au  0.3314  0.6686  0.5000  6 K 3.46-3.49
Au  0.6686  0.3314  0.5000  6 K 3.46-3.49
O  0.0000  0.0000  0.5000  6 K 2.64-2.65


Record 4
YZn2 | PBE | optimized geometry

Computed properties:
E_form (meV per atom): -310
Space group: Pnma
Final energy (eV/f.u.): -9.943

a b c (Å): 6.0451 4.6947 8.5417
angles (deg): 90.00 90.00 90.00
Last column: nearest neighbours and their distance in Å.
Fractional coordinates of all 12 atoms:
Y  0.1887  0.2500  0.0836  9 Zn 2.86-3.18
Y  0.3113  0.7500  0.5836  9 Zn 2.86-3.18
Y  0.6887  0.2500  0.4164  9 Zn 2.86-3.18
Y  0.8113  0.7500  0.9164  9 Zn 2.86-3.18
Zn  0.0171  0.2500  0.7247  5 Zn 2.78-3.05
Zn  0.1724  0.2500  0.4178  3 Zn 2.78-2.88, 4 Y 2.86-2.92
Zn  0.3276  0.7500  0.9178  3 Zn 2.78-2.88, 4 Y 2.86-2.92
Zn  0.4829  0.7500  0.2247  5 Zn 2.78-3.05
Zn  0.5171  0.2500  0.7753  5 Zn 2.78-3.05
Zn  0.6724  0.2500  0.0822  3 Zn 2.78-2.88, 4 Y 2.86-2.92
Zn  0.8276  0.7500  0.5822  3 Zn 2.78-2.88, 4 Y 2.86-2.92
Zn  0.9829  0.7500  0.2753  5 Zn 2.78-3.05


Record 5
Y4MgTl | PBE | optimized geometry

Computed properties:
E_form (meV per atom): 274
Space group: F-43m
Energy above the most stable polymorph in this dataset (meV/atom): 116.3
Final energy (eV/f.u.): -28.172

a b c (Å): 6.4111 6.4111 6.4111
angles (deg): 60.00 60.00 60.00
Last column: nearest neighbours and their distance in Å.
Fractional coordinates of all 6 atoms:
Y  0.1251  0.1251  0.1251  6 Y 3.20-3.21
Y  0.1251  0.1251  0.6248  6 Y 3.20-3.21
Y  0.1251  0.6248  0.1251  6 Y 3.20-3.21
Y  0.6248  0.1251  0.1251  6 Y 3.20-3.21
Mg  0.7500  0.7500  0.7500  12 Y 3.76, 4 Tl 3.93
Tl  0.5000  0.5000  0.5000  12 Y 3.76, 4 Mg 3.93


Record 6
Pu6Sn2Bi | PBE | optimized geometry

Computed properties:
E_form (meV per atom): -134
Space group: P6/mmm
Final energy (eV/f.u.): -99.082

a b c (Å): 8.9918 8.9918 3.3776
angles (deg): 90.00 90.00 120.00
Last column: nearest neighbours and their distance in Å.
Fractional coordinates of all 9 atoms:
Pu  0.0000  0.3354  0.0000  3 Pu 2.96-3.02
Pu  0.0000  0.6646  0.0000  3 Pu 2.96-3.02
Pu  0.3354  0.0000  0.0000  3 Pu 2.96-3.02
Pu  0.3354  0.3354  0.0000  3 Pu 2.96-3.02
Pu  0.6646  0.0000  0.0000  3 Pu 2.96-3.02
Pu  0.6646  0.6646  0.0000  3 Pu 2.96-3.02
Sn  0.3333  0.6667  0.5000  2 Sn 3.38, 12 Pu 3.43
Sn  0.6667  0.3333  0.5000  2 Sn 3.38, 12 Pu 3.43
Bi  0.0000  0.0000  0.5000  2 Bi 3.38, 12 Pu 3.46


Record 7
ZnSiCl2 | PBE | optimized geometry

Computed properties:
Space group: Pmmm
Energy above the most stable polymorph in this dataset (meV/atom): 377.2
Final energy (eV/f.u.): -10.162

a b c (Å): 3.2850 4.1849 5.9490
angles (deg): 90.00 90.00 90.00
Last column: nearest neighbours and their distance in Å.
Fractional coordinates of all 4 atoms:
Zn  0.0000  0.0000  0.0000  4 Cl 2.66
Si  0.5000  0.0000  0.5000  4 Cl 2.66
Cl  0.0000  0.5000  0.5000  4 Si 2.66
Cl  0.5000  0.5000  0.0000  4 Zn 2.66


What did the second record say?
In2Au3 | PBE | optimized geometry

Computed properties:
E_form (meV per atom): -55
Space group: I-43d
Energy above the most stable polymorph in this dataset (meV/atom): 107.3
Final energy (eV/f.u.): -15.583

a b c (Å): 8.3980 8.3980 8.3980
angles (deg): 109.47 109.47 109.47
Last column: nearest neighbours and their distance in Å.
Fractional coordinates of all 20 atoms:
In  0.0000  0.4280  0.5000  6 Au 2.84
In  0.0000  0.9280  0.5000  6 Au 2.84
In  0.0720  0.0720  0.0720  6 Au 2.84
In  0.4280  0.5000  0.0000  6 Au 2.84
In  0.5000  0.0000  0.4280  6 Au 2.84
In  0.5000  0.0000  0.9280  6 Au 2.84
In  0.5720  0.5720  0.5720  6 Au 2.84
In  0.9280  0.5000  0.0000  6 Au 2.84
Au  0.0177  0.2677  0.7500  1 Au 2.77, 4 In 2.84
Au  0.2323  0.2500  0.4823  1 Au 2.77, 4 In 2.84
Au  0.2500  0.4823  0.2323  1 Au 2.77, 4 In 2.84
Au  0.2500  0.7677  0.5177  1 Au 2.77, 4 In 2.84
Au  0.2677  0.7500  0.0177  1 Au 2.77, 4 In 2.84
Au  0.4823  0.2323  0.2500  1 Au 2.77, 4 In 2.84
Au  0.5177  0.2500  0.7677  1 Au 2.77, 4 In 2.84
Au  0.7323  0.9823  0.7500  1 Au 2.77, 4 In 2.84
Au  0.7500  0.0177  0.2677  1 Au 2.77, 4 In 2.84
Au  0.7500  0.7323  0.9823  1 Au 2.77, 4 In 2.84
Au  0.7677  0.5177  0.2500  1 Au 2.77, 4 In 2.84
Au  0.9823  0.7500  0.7323  1 Au 2.77, 4 In 2.84


- The lowest final energy belongs to which entry?
  Pu6Sn2Bi


- The lowest final energy belongs to which entry?
  Pu6Sn2Bi


- The lowest final energy belongs to which entry?
  Pu6Sn2Bi